This record from Alexandria describes a relaxed structure of La2SeIN. The functional is PBE.

- Uncorrected energy: -4.65 eV per atom
- DOS at the Fermi energy: 0.93 states/eV/atom
- ΔE to the lowest computed polymorph: 1630 meV/atom
- Uncorrected formation energy: -0.2 kcal/mol of atoms
- Symmetry: P4/mmm, No. 123

The structure in POSCAR format:
```
La2SeIN
1.0
5.873 0.000 0.000
0.000 5.873 0.000
0.000 0.000 4.230
La Se I N
2 1 1 1
Cartesian
0.000 2.937 0.000
2.937 0.000 0.000
0.000 0.000 2.115
2.937 2.937 0.000
2.937 2.937 2.115
```